[1]
{"formula": "Ac3Pr2Dy7", "functional": "PBE", "state": "relaxed", "cell": [[2.950, -19.510, 0.000], [2.950, 19.510, 0.000], [0.000, 0.000, 3.737]], "species": ["Ac", "Ac", "Ac", "Pr", "Pr", "Dy", "Dy", "Dy", "Dy", "Dy", "Dy", "Dy"], "fractional_positions": [[0.000, 0.000, 0.000], [0.316, 0.684, 0.500], [0.684, 0.316, 0.500], [0.146, 0.854, 0.000], [0.854, 0.146, 0.000], [0.074, 0.926, 0.500], [0.230, 0.770, 0.000], [0.414, 0.586, 0.000], [0.500, 0.500, 0.500], [0.586, 0.414, 0.000], [0.770, 0.230, 0.000], [0.926, 0.074, 0.500]], "vol_a3_per_cell": 430, "space_group": "Cmmm", "ef_ev_per_atom": 0.1387, "e_tot_ev_per_cell": -52.43, "dos_at_fermi_per_ev_cell": 20.27, "mass_density_g_cm3": 8.11, "magmom_total_mub_per_cell": 0.00}

[2]
{"formula": "Ac4Pr11Dy9", "functional": "PBE", "state": "relaxed", "cell": [[10.603, -11.028, 0.000], [10.603, 11.028, 0.000], [0.000, 0.000, 3.675]], "species": ["Ac", "Ac", "Ac", "Ac", "Pr", "Pr", "Pr", "Pr", "Pr", "Pr", "Pr", "Pr", "Pr", "Pr", "Pr", "Dy", "Dy", "Dy", "Dy", "Dy", "Dy", "Dy", "Dy", "Dy"], "fractional_positions": [[0.049, 0.221, 0.000], [0.221, 0.049, 0.000], [0.779, 0.951, 0.000], [0.951, 0.779, 0.000], [0.088, 0.427, 0.500], [0.162, 0.838, 0.500], [0.265, 0.265, 0.500], [0.331, 0.669, 0.500], [0.427, 0.088, 0.500], [0.500, 0.500, 0.500], [0.573, 0.912, 0.500], [0.669, 0.331, 0.500], [0.735, 0.735, 0.500], [0.838, 0.162, 0.500], [0.912, 0.573, 0.500], [0.000, 0.000, 0.000], [0.127, 0.628, 0.000], [0.295, 0.467, 0.000], [0.372, 0.873, 0.000], [0.467, 0.295, 0.000], [0.533, 0.705, 0.000], [0.628, 0.127, 0.000], [0.705, 0.533, 0.000], [0.873, 0.372, 0.000]], "vol_a3_per_cell": 860, "space_group": "Cmmm", "ef_ev_per_atom": 0.0718, "e_tot_ev_per_cell": -108.70, "dos_at_fermi_per_ev_cell": 37.22, "mass_density_g_cm3": 7.57, "magmom_total_mub_per_cell": 0.00}

[3]
{"formula": "AcPr3Dy3", "functional": "PBE", "state": "relaxed", "cell": [[6.900, -11.260, 0.000], [6.900, 11.260, 0.000], [-2.324, 0.000, 6.533]], "species": ["Ac", "Ac", "Ac", "Ac", "Pr", "Pr", "Pr", "Pr", "Pr", "Pr", "Pr", "Pr", "Pr", "Pr", "Pr", "Pr", "Dy", "Dy", "Dy", "Dy", "Dy", "Dy", "Dy", "Dy", "Dy", "Dy", "Dy", "Dy"], "fractional_positions": [[0.000, 0.000, 0.000], [0.000, 0.184, 0.599], [0.184, 0.000, 0.599], [0.816, 0.816, 0.415], [0.000, 0.274, 0.136], [0.000, 0.461, 0.824], [0.263, 0.737, 0.294], [0.264, 0.527, 0.557], [0.274, 0.000, 0.136], [0.461, 0.000, 0.824], [0.474, 0.738, 0.031], [0.527, 0.264, 0.557], [0.540, 0.540, 0.363], [0.727, 0.727, 0.862], [0.737, 0.263, 0.294], [0.738, 0.474, 0.031], [0.000, 0.528, 0.341], [0.000, 0.734, 0.111], [0.181, 0.743, 0.770], [0.258, 0.438, 0.028], [0.266, 0.266, 0.377], [0.438, 0.258, 0.028], [0.473, 0.473, 0.814], [0.528, 0.000, 0.341], [0.562, 0.820, 0.590], [0.734, 0.000, 0.111], [0.743, 0.181, 0.770], [0.820, 0.562, 0.590]], "vol_a3_per_cell": 1015, "space_group": "Cm", "ef_ev_per_atom": 0.1233, "e_tot_ev_per_cell": -125.56, "dos_at_fermi_per_ev_cell": 38.69, "mass_density_g_cm3": 7.44, "magmom_total_mub_per_cell": 0.00, "relative_energy_mev_per_atom": 82}

[4]
{"formula": "Ac3Pr2Dy6", "functional": "PBE", "state": "relaxed", "cell": [[3.199, -5.551, 0.000], [3.199, 5.551, 0.000], [-2.150, 0.000, 11.648]], "species": ["Ac", "Ac", "Ac", "Pr", "Pr", "Dy", "Dy", "Dy", "Dy", "Dy", "Dy"], "fractional_positions": [[0.000, 0.000, 0.000], [0.335, 0.665, 0.000], [0.665, 0.335, 0.000], [0.166, 0.834, 0.500], [0.834, 0.166, 0.500], [0.087, 0.419, 0.257], [0.250, 0.250, 0.744], [0.419, 0.087, 0.257], [0.581, 0.913, 0.743], [0.750, 0.750, 0.256], [0.913, 0.581, 0.743]], "vol_a3_per_cell": 414, "space_group": "C2/m", "ef_ev_per_atom": 0.2225, "e_tot_ev_per_cell": -47.05, "dos_at_fermi_per_ev_cell": 14.45, "mass_density_g_cm3": 7.78, "magmom_total_mub_per_cell": 0.00}

[5]
{"formula": "Ac5Pr2Dy", "functional": "PBE", "state": "relaxed", "cell": [[7.675, 0.000, 0.000], [0.000, 15.388, 0.000], [0.000, 0.000, 5.533]], "species": ["Ac", "Ac", "Ac", "Ac", "Ac", "Ac", "Ac", "Ac", "Ac", "Ac", "Pr", "Pr", "Pr", "Pr", "Dy", "Dy"], "fractional_positions": [[0.000, 0.000, 0.000], [0.009, 0.254, 0.000], [0.241, 0.621, 0.500], [0.259, 0.121, 0.500], [0.491, 0.754, 0.000], [0.500, 0.500, 0.000], [0.509, 0.246, 0.000], [0.741, 0.879, 0.500], [0.759, 0.379, 0.500], [0.991, 0.746, 0.000], [0.245, 0.877, 0.500], [0.255, 0.377, 0.500], [0.745, 0.623, 0.500], [0.755, 0.123, 0.500], [0.000, 0.500, 0.000], [0.500, 0.000, 0.000]], "vol_a3_per_cell": 653, "space_group": "Pbam", "ef_ev_per_atom": 0.0336, "e_tot_ev_per_cell": -68.87, "dos_at_fermi_per_ev_cell": 27.20, "mass_density_g_cm3": 8.03, "magmom_total_mub_per_cell": 0.00}